Entry 1:
# LiAcLaDy PBE-GGA optimized geometry
# **Formation energy**: 91 kJ/mol of formula units
# **Magnetization**: 0.0 μB per cell
data_LiAcLaDy
_chemical_formula_sum 'Li4 Ac4 La4 Dy4'
_cell_length_a 8.208
_cell_length_b 8.208
_cell_length_c 8.208
_cell_angle_alpha 90.00
_cell_angle_beta 90.00
_cell_angle_gamma 90.00
_space_group_name_H-M_alt 'F -4 3 m'
_space_group_IT_number 216
_space_group_name_Hall 'F -4 2 3'
loop_
_atom_site_label
_atom_site_type_symbol
_atom_site_fract_x
_atom_site_fract_y
_atom_site_fract_z
_atom_site_occupancy
Li1 Li 0.000 0.000 0.000 1
Ac1 Ac 0.000 0.000 0.500 1
La1 La 0.250 0.250 0.750 1
Dy1 Dy 0.250 0.250 0.250 1



Entry 2:
# Sm2PaCuS6 PBE-GGA optimized geometry
# **Raw formation energy**: -12.81 eV per formula unit
# **Magnetization**: 0.0 μB per cell
data_Sm2PaCuS6
_chemical_formula_sum 'Sm2 Pa1 Cu1 S6'
_cell_length_a 6.453
_cell_length_b 6.453
_cell_length_c 6.119
_cell_angle_alpha 90.00
_cell_angle_beta 90.00
_cell_angle_gamma 90.00
_space_group_name_H-M_alt 'P 4 m m'
_space_group_IT_number 99
loop_
_space_group_symop_operation_xyz
'x,y,z'
'-y,x,z'
'-x,-y,z'
'y,-x,z'
'-x,y,z'
'y,x,z'
'x,-y,z'
'-y,-x,z'
loop_
_atom_site_label
_atom_site_type_symbol
_atom_site_fract_x
_atom_site_fract_y
_atom_site_fract_z
_atom_site_occupancy
Sm1 Sm 0.000 0.500 0.000 1
Pa1 Pa 0.000 0.000 0.604 1
Cu1 Cu 0.500 0.500 0.544 1
S1 S 0.000 0.000 0.164 1
S2 S 0.264 0.264 0.736 1
S3 S 0.500 0.500 0.182 1



Entry 3:
# Sr2YAg PBE-GGA optimized geometry
# **Formation energy**: 2 kJ/mol of formula units
# **Energy relative to the lowest polymorph listed for this composition**: 84 meV/atom
# **Magnetization**: 1.0 μB per cell
data_Sr2YAg
_chemical_formula_sum 'Sr2 Y1 Ag1'
_cell_length_a 3.845
_cell_length_b 3.845
_cell_length_c 9.769
_cell_angle_alpha 90.00
_cell_angle_beta 90.00
_cell_angle_gamma 90.00
_space_group_name_H-M_alt 'P 4/m m m'
_space_group_IT_number 123
_space_group_name_Hall '-P 4 2'
loop_
_atom_site_label
_atom_site_type_symbol
_atom_site_fract_x
_atom_site_fract_y
_atom_site_fract_z
_atom_site_occupancy
Sr1 Sr 0.000 0.000 0.206 1
Y1 Y 0.500 0.500 0.500 1
Ag1 Ag 0.500 0.500 0.000 1



Entry 4:
# Cu2AgPtO PBE-GGA optimized geometry
# **Raw formation energy**: 4.87 eV per formula unit
# **Magnetization**: 0.0 μB per cell
data_Cu2AgPtO
_chemical_formula_sum 'Cu2 Ag1 Pt1 O1'
_cell_length_a 4.785
_cell_length_b 4.785
_cell_length_c 3.764
_cell_angle_alpha 90.00
_cell_angle_beta 90.00
_cell_angle_gamma 90.00
_space_group_name_H-M_alt 'P 4/m m m'
_space_group_IT_number 123
_space_group_name_Hall '-P 4 2'
loop_
_atom_site_label
_atom_site_type_symbol
_atom_site_fract_x
_atom_site_fract_y
_atom_site_fract_z
_atom_site_occupancy
Cu1 Cu 0.000 0.500 0.000 1
Ag1 Ag 0.000 0.000 0.000 1
Pt1 Pt 0.500 0.500 0.500 1
O1 O 0.000 0.000 0.500 1